Record 1
The following is a DFT calculation (GGA-PBE) of a geometry-optimized La2AgO structure.

For the total DFT energy (no corrections), the calculation gives -69.34 eV for the cell shown. The calculation puts the density of states at the Fermi level at 11.76 states/eV per cell. Its formation energy without anion corrections is -1.36 eV per atom.

The space group is R3m (No. 160, hexagonal axes) and the conventional cell measures 3.8301, 3.8301 and 22.2858 Å, with angles of 90.00, 90.00 and 120.00 degrees. Symmetry generates all atoms from La at (0.0000, 0.0000, 0.0000), La at (0.0000, 0.0000, 0.2092), Ag at (0.0000, 0.0000, 0.4388) and O at (0.0000, 0.0000, 0.6085).

Record 2
The following is a DFT calculation (GGA-PBE) of a geometry-optimized ErZr2Cd2 structure.

For the total DFT energy (no corrections), the calculation gives -46.23 eV for the cell shown. The calculation puts the density of states at the Fermi level at 14.93 states/eV per cell. The value obtained for the energy of formation from the pure elements is 0.075 eV/atom.

The space group is I4/mmm (No. 139) and the conventional cell measures 4.1573, 4.1573 and 14.3550 Å, with angles of 90.00, 90.00 and 90.00 degrees. Symmetry generates all atoms from Er at (0.0000, 0.0000, 0.0000), Zr at (0.0000, 0.5000, 0.2500) and Cd at (0.0000, 0.0000, 0.4037).

Record 3
The following is a DFT calculation (GGA-PBE) of a geometry-optimized SrMn3Cr structure.

For the total DFT energy (no corrections), the calculation gives -27.62 eV for the cell shown. The calculation puts the density of states at the Fermi level at 6.23 states/eV per cell. The relative energy among the computed polymorphs comes out at 147.7 kJ per mole of atoms. The value obtained for the energy of formation from the pure elements is 2.238 eV/atom.

The space group is Pm-3m (No. 221) and the conventional cell measures 4.9911, 4.9911 and 4.9911 Å, with angles of 90.00, 90.00 and 90.00 degrees. Symmetry generates all atoms from Sr at (0.0000, 0.0000, 0.0000), Mn at (0.0000, 0.0000, 0.5000) and Cr at (0.5000, 0.5000, 0.5000).

Record 4
The following is a DFT calculation (GGA-PBE) of a geometry-optimized Tb4MgPd2 structure.

For the total DFT energy (no corrections), the calculation gives -99.43 eV for the cell shown. The calculation puts the density of states at the Fermi level at 19.02 states/eV per cell. The value obtained for the energy of formation from the pure elements is -0.377 eV/atom.

The space group is R-3m (No. 166, hexagonal axes) and the conventional cell measures 4.9468, 4.9468 and 26.8723 Å, with angles of 90.00, 90.00 and 120.00 degrees. Symmetry generates all atoms from Tb at (0.0000, 0.0000, 0.1146), Tb at (0.0000, 0.0000, 0.2942), Mg at (0.0000, 0.0000, 0.5000) and Pd at (0.0000, 0.0000, 0.4018).

Record 5
The following is a DFT calculation (GGA-PBE) of a geometry-optimized ZrIn2Sb structure.

For the total DFT energy (no corrections), the calculation gives -18.69 eV for the cell shown. The calculation puts the density of states at the Fermi level at 1.97 states/eV per cell. Its formation energy without anion corrections is -0.14 eV per atom.

The space group is Pm (No. 6) and the conventional cell measures 3.2458, 5.3957 and 5.5509 Å, with angles of 90.00, 91.27 and 90.00 degrees. Symmetry generates all atoms from Zr at (0.0000, 0.0000, 0.0000), In at (0.4935, 0.5000, 0.7784), In at (0.5099, 0.0000, 0.4900) and Sb at (0.0201, 0.5000, 0.2503).

Record 6
The following is a DFT calculation (GGA-PBE) of a geometry-optimized MgZnP2 structure.

For the total DFT energy (no corrections), the calculation gives -13.37 eV for the cell shown. The calculation puts the density of states at the Fermi level at 1.32 states/eV per cell. The relative energy among the computed polymorphs comes out at 23.0 kJ per mole of atoms. The value obtained for the energy of formation from the pure elements is 0.080 eV/atom.

The space group is Pmmm (No. 47) and the conventional cell measures 3.6438, 3.8965 and 4.6375 Å, with angles of 90.00, 90.00 and 90.00 degrees. Symmetry generates all atoms from Mg at (0.0000, 0.0000, 0.0000), Zn at (0.0000, 0.5000, 0.5000), P at (0.5000, 0.0000, 0.5000) and P at (0.5000, 0.5000, 0.0000).

Record 7
The following is a DFT calculation (GGA-PBE) of a geometry-optimized Y5Ho2In structure.

For the total DFT energy (no corrections), the calculation gives -89.68 eV for the cell shown. The calculation puts the density of states at the Fermi level at 22.65 states/eV per cell. The value obtained for the energy of formation from the pure elements is -0.078 eV/atom.

The space group is I4/mmm (No. 139) and the conventional cell measures 7.0398, 7.0398 and 9.9101 Å, with angles of 90.00, 90.00 and 90.00 degrees. Symmetry generates all atoms from Y at (0.0000, 0.0000, 0.0000), Y at (0.2500, 0.2500, 0.2500), Ho at (0.0000, 0.5000, 0.0000) and In at (0.0000, 0.0000, 0.5000).

Record 8
The following is a DFT calculation (GGA-PBE) of a geometry-optimized CdOs structure.

For the total DFT energy (no corrections), the calculation gives -66.85 eV for the cell shown. The calculation puts the density of states at the Fermi level at 9.73 states/eV per cell. The value obtained for the energy of formation from the pure elements is 0.502 eV/atom.

The space group is P6_3/mmc (No. 194) and the conventional cell measures 8.0720, 8.0720 and 4.0441 Å, with angles of 90.00, 90.00 and 120.00 degrees. Symmetry generates all atoms from Cd at (0.1628, 0.3256, 0.2500) and Os at (0.1190, 0.5595, 0.7500).

Record 9
The following is a DFT calculation (GGA-PBE) of a geometry-optimized Ba2CePaO6 structure.

For the total DFT energy (no corrections), the calculation gives -81.05 eV for the cell shown. The calculation puts the density of states at the Fermi level at 6.38 states/eV per cell. Its formation energy without anion corrections is -3.20 eV per atom. The relative energy among the computed polymorphs comes out at 1.9 kJ per mole of atoms.

The space group is P4/mmm (No. 123) and the conventional cell measures 4.5087, 4.5087 and 9.0053 Å, with angles of 90.00, 90.00 and 90.00 degrees. Symmetry generates all atoms from Ba at (0.0000, 0.0000, 0.2357), Ce at (0.5000, 0.5000, 0.0000), Pa at (0.5000, 0.5000, 0.5000), O at (0.0000, 0.5000, 0.0000), O at (0.0000, 0.5000, 0.5000) and O at (0.5000, 0.5000, 0.2607).

Record 10
The following is a DFT calculation (GGA-PBE) of a geometry-optimized TlHg5Au3 structure.

For the total DFT energy (no corrections), the calculation gives -52.86 eV for the cell shown. The calculation puts the density of states at the Fermi level at 11.98 states/eV per cell. The value obtained for the energy of formation from the pure elements is 0.055 eV/atom.

The space group is C2/m (No. 12) and the conventional cell measures 10.0208, 10.3231 and 10.4407 Å, with angles of 90.00, 111.16 and 90.00 degrees. Symmetry generates all atoms from Tl at (0.2401, 0.0000, 0.2520), Hg at (0.0000, 0.2640, 0.0000), Hg at (0.0007, 0.2672, 0.6729), Hg at (0.2309, 0.0000, 0.9035), Hg at (0.2398, 0.5000, 0.4067), Au at (0.0000, 0.0000, 0.0000), Au at (0.0000, 0.5000, 0.5000), Au at (0.0019, 0.0000, 0.3564) and Au at (0.0037, 0.5000, 0.8508).

Record 11
The following is a DFT calculation (GGA-PBE) of a geometry-optimized AlTcGePd structure.

For the total DFT energy (no corrections), the calculation gives -101.21 eV for the cell shown. The calculation puts the density of states at the Fermi level at 5.56 states/eV per cell. The value obtained for the energy of formation from the pure elements is -0.346 eV/atom.

The space group is F-43m (No. 216) and the conventional cell measures 6.1366, 6.1366 and 6.1366 Å, with angles of 90.00, 90.00 and 90.00 degrees. Symmetry generates all atoms from Al at (0.0000, 0.0000, 0.0000), Tc at (0.2500, 0.2500, 0.2500), Ge at (0.0000, 0.0000, 0.5000) and Pd at (0.2500, 0.2500, 0.7500).

Record 12
The following is a DFT calculation (GGA-PBE) of a geometry-optimized Sc5Ga2Pt structure.

For the total DFT energy (no corrections), the calculation gives -196.33 eV for the cell shown. The calculation puts the density of states at the Fermi level at 28.41 states/eV per cell. The value obtained for the energy of formation from the pure elements is -0.666 eV/atom.

The space group is I4/mcm (No. 140) and the conventional cell measures 6.9862, 6.9862 and 13.4738 Å, with angles of 90.00, 90.00 and 90.00 degrees. Symmetry generates all atoms from Sc at (0.0000, 0.0000, 0.0000), Sc at (0.1715, 0.3285, 0.1495), Ga at (0.1265, 0.3735, 0.5000) and Pt at (0.0000, 0.0000, 0.2500).

Please write out number 12 again, unchanged.
The following is a DFT calculation (GGA-PBE) of a geometry-optimized Sc5Ga2Pt structure.

For the total DFT energy (no corrections), the calculation gives -196.33 eV for the cell shown. The calculation puts the density of states at the Fermi level at 28.41 states/eV per cell. The value obtained for the energy of formation from the pure elements is -0.666 eV/atom.

The space group is I4/mcm (No. 140) and the conventional cell measures 6.9862, 6.9862 and 13.4738 Å, with angles of 90.00, 90.00 and 90.00 degrees. Symmetry generates all atoms from Sc at (0.0000, 0.0000, 0.0000), Sc at (0.1715, 0.3285, 0.1495), Ga at (0.1265, 0.3735, 0.5000) and Pt at (0.0000, 0.0000, 0.2500).

Look up the total DFT energy (no corrections) of the first one. -69.34 eV for the cell shown

What is the total DFT energy (no corrections) in the eighth record? -66.85 eV for the cell shown

Which of these has the highest total DFT energy (no corrections)? MgZnP2